Entry 1:
Here is an optimized crystal structure of SmTe2O8 from Alexandria. Energies are from PBE-GGA.

The structure in CIF format:
```
data_SmTe2O8
_space_group_name_H-M_alt 'C 1 2/m 1'
_space_group_IT_number 12
_cell_length_a 9.6044
_cell_length_b 6.2504
_cell_length_c 5.4721
_cell_angle_alpha 90.00
_cell_angle_beta 100.39
_cell_angle_gamma 90.00
loop_
_space_group_symop_operation_xyz
'x,y,z'
'-x,-y,-z'
'-x,y,-z'
'x,-y,z'
'x+1/2,y+1/2,z'
'-x+1/2,-y+1/2,-z'
'-x+1/2,y+1/2,-z'
'x+1/2,-y+1/2,z'
loop_
_atom_site_label
_atom_site_fract_x
_atom_site_fract_y
_atom_site_fract_z
_atom_site_occupancy
Sm1 0.0000 0.0000 0.0000 1
Te1 0.2241 0.5000 0.4631 1
O1 0.0866 0.5000 0.6717 1
O2 0.1446 0.2045 0.3274 1
O3 0.1845 0.0000 0.8062 1
```

The volume is 323.1 Å³/cell. The value obtained for the energy relative to the elements, uncorrected is -1.2293 eV per atom. The calculation puts the raw total energy at -64.2 eV/f.u.

Entry 2:
Here is an optimized crystal structure of Sm2TeO6 from Alexandria. Energies are from PBE-GGA.

The structure in CIF format:
```
data_Sm2TeO6
_space_group_name_H-M_alt 'P 1 21/c 1'
_space_group_IT_number 14
_cell_length_a 5.5916
_cell_length_b 5.9475
_cell_length_c 9.4154
_cell_angle_alpha 90.00
_cell_angle_beta 120.14
_cell_angle_gamma 90.00
loop_
_space_group_symop_operation_xyz
'x,y,z'
'-x,-y,-z'
'-x,y+1/2,-z+1/2'
'x,-y+1/2,z+1/2'
loop_
_atom_site_label
_atom_site_fract_x
_atom_site_fract_y
_atom_site_fract_z
_atom_site_occupancy
Sm1 0.1979 0.0709 0.2394 1
Te1 0.5000 0.0000 0.0000 1
O1 0.1729 0.1736 0.9530 1
O2 0.2501 0.7417 0.8977 1
O3 0.4492 0.0911 0.7899 1
```

The volume is 270.8 Å³/cell. The value obtained for the energy relative to the elements, uncorrected is -2.4589 eV per atom. The calculation puts the raw total energy at -64.5 eV/f.u.

Entry 3:
Here is an optimized crystal structure of Sm2TeO from Alexandria. Energies are from PBE-GGA.

The structure in CIF format:
```
data_Sm2TeO
_space_group_name_H-M_alt 'R -3 m'
_space_group_IT_number 166
_space_group_name_Hall '-R 3 2"'
_cell_length_a 3.8647
_cell_length_b 3.8647
_cell_length_c 20.7932
_cell_angle_alpha 90.00
_cell_angle_beta 90.00
_cell_angle_gamma 120.00
loop_
_atom_site_label
_atom_site_fract_x
_atom_site_fract_y
_atom_site_fract_z
_atom_site_occupancy
Sm1 0.0000 0.0000 0.2275 1
Te1 0.0000 0.0000 0.0000 1
O1 0.0000 0.0000 0.5000 1
```

The volume is 269.0 Å³/cell. The value obtained for the energy relative to the elements, uncorrected is -1.9353 eV per atom. The calculation puts the raw total energy at -25.3 eV/f.u.

Entry 4:
Here is an optimized crystal structure of SmTe2O5 from Alexandria. Energies are from PBE-GGA.

The structure in CIF format:
```
data_SmTe2O5
_space_group_name_H-M_alt 'P b c n'
_space_group_IT_number 60
_cell_length_a 7.3762
_cell_length_b 10.8142
_cell_length_c 7.3134
_cell_angle_alpha 90.00
_cell_angle_beta 90.00
_cell_angle_gamma 90.00
loop_
_space_group_symop_operation_xyz
'x,y,z'
'-x,-y,-z'
'-x+1/2,-y+1/2,z+1/2'
'x+1/2,y+1/2,-z+1/2'
'x+1/2,-y+1/2,-z'
'-x+1/2,y+1/2,z'
'-x,y,-z+1/2'
'x,-y,z+1/2'
loop_
_atom_site_label
_atom_site_fract_x
_atom_site_fract_y
_atom_site_fract_z
_atom_site_occupancy
Sm1 0.0000 0.0541 0.2500 1
Te1 0.1026 0.3533 0.0220 1
O1 0.0000 0.4390 0.2500 1
O2 0.1650 0.0639 0.5267 1
O3 0.1830 0.2169 0.1687 1
```

The volume is 583.4 Å³/cell. The value obtained for the energy relative to the elements, uncorrected is -1.6480 eV per atom. The calculation puts the raw total energy at -49.0 eV/f.u.

Entry 5:
Here is an optimized crystal structure of SmTl2TeO8 from Alexandria. Energies are from PBE-GGA.

The structure in CIF format:
```
data_SmTl2TeO8
_space_group_name_H-M_alt 'P 1 2/m 1'
_space_group_IT_number 10
_cell_length_a 5.0487
_cell_length_b 6.9655
_cell_length_c 5.0606
_cell_angle_alpha 90.00
_cell_angle_beta 90.62
_cell_angle_gamma 90.00
loop_
_space_group_symop_operation_xyz
'x,y,z'
'-x,-y,-z'
'-x,y,-z'
'x,-y,z'
loop_
_atom_site_label
_atom_site_fract_x
_atom_site_fract_y
_atom_site_fract_z
_atom_site_occupancy
Sm1 0.0000 0.0000 0.0000 1
Tl1 0.5000 0.2573 0.5000 1
Te1 0.0000 0.5000 0.0000 1
O1 0.1778 0.2896 0.8196 1
O2 0.2816 0.5000 0.2779 1
O3 0.3164 0.0000 0.3114 1
```

The volume is 178.0 Å³/cell. The value obtained for the energy relative to the elements, uncorrected is -1.2112 eV per atom. The calculation puts the raw total energy at -66.8 eV/f.u.

Entry 6:
Here is an optimized crystal structure of SmTl2Te3O12 from Alexandria. Energies are from PBE-GGA.

The structure in CIF format:
```
data_SmTl2Te3O12
_space_group_name_H-M_alt 'R -3 m'
_space_group_IT_number 166
_space_group_name_Hall '-R 3 2"'
_cell_length_a 7.4294
_cell_length_b 7.4294
_cell_length_c 19.1083
_cell_angle_alpha 90.00
_cell_angle_beta 90.00
_cell_angle_gamma 120.00
loop_
_atom_site_label
_atom_site_fract_x
_atom_site_fract_y
_atom_site_fract_z
_atom_site_occupancy
Sm1 0.0000 0.0000 0.0000 1
Tl1 0.0000 0.0000 0.3465 1
Te1 0.0000 0.5000 0.5000 1
O1 0.0352 0.5176 0.5986 1
O2 0.0716 0.5358 0.8463 1
```

The volume is 913.4 Å³/cell. The value obtained for the energy relative to the elements, uncorrected is -1.2071 eV per atom. The calculation puts the raw total energy at -100.1 eV/f.u.

Entry 7:
Here is an optimized crystal structure of SmTlTeO4 from Alexandria. Energies are from PBE-GGA.

The structure in CIF format:
```
data_SmTlTeO4
_space_group_name_H-M_alt 'P 1 21/m 1'
_space_group_IT_number 11
_cell_length_a 5.9195
_cell_length_b 6.0463
_cell_length_c 7.8650
_cell_angle_alpha 90.00
_cell_angle_beta 105.66
_cell_angle_gamma 90.00
loop_
_space_group_symop_operation_xyz
'x,y,z'
'-x,-y,-z'
'-x,y+1/2,-z'
'x,-y+1/2,z'
loop_
_atom_site_label
_atom_site_fract_x
_atom_site_fract_y
_atom_site_fract_z
_atom_site_occupancy
Sm1 0.1815 0.2500 0.4616 1
Tl1 0.0665 0.7500 0.1260 1
Te1 0.3926 0.7500 0.7592 1
O1 0.1497 0.5075 0.6784 1
O2 0.2495 0.2500 0.1829 1
O3 0.4153 0.7500 0.5183 1
```

The volume is 271.0 Å³/cell. The value obtained for the energy relative to the elements, uncorrected is -1.7801 eV per atom. The calculation puts the raw total energy at -42.5 eV/f.u.

Entry 8:
Here is an optimized crystal structure of SmTlTeO6 from Alexandria. Energies are from PBE-GGA.

The structure in CIF format:
```
data_SmTlTeO6
_space_group_name_H-M_alt 'P 42 n m'
_space_group_IT_number 102
_cell_length_a 5.0733
_cell_length_b 5.0733
_cell_length_c 10.1619
_cell_angle_alpha 90.00
_cell_angle_beta 90.00
_cell_angle_gamma 90.00
loop_
_space_group_symop_operation_xyz
'x,y,z'
'-y+1/2,x+1/2,z+1/2'
'-x,-y,z'
'y+1/2,-x+1/2,z+1/2'
'-x+1/2,y+1/2,z+1/2'
'y,x,z'
'x+1/2,-y+1/2,z+1/2'
'-y,-x,z'
loop_
_atom_site_label
_atom_site_fract_x
_atom_site_fract_y
_atom_site_fract_z
_atom_site_occupancy
Sm1 0.0000 0.0000 0.0000 1
Tl1 0.0000 0.0000 0.6717 1
Te1 0.0000 0.0000 0.3371 1
O1 0.1804 0.1804 0.4820 1
O2 0.1822 0.1822 0.1925 1
O3 0.2267 0.2267 0.8378 1
```

The volume is 261.5 Å³/cell. The value obtained for the energy relative to the elements, uncorrected is -1.5976 eV per atom. The calculation puts the raw total energy at -54.4 eV/f.u.

Entry 9:
Here is an optimized crystal structure of SmTl3Te2O9 from Alexandria. Energies are from PBE-GGA.

The structure in CIF format:
```
data_SmTl3Te2O9
_space_group_name_H-M_alt 'P -3 m 1'
_space_group_IT_number 164
_space_group_name_Hall '-P 3 2"'
_cell_length_a 5.9582
_cell_length_b 5.9582
_cell_length_c 7.3866
_cell_angle_alpha 90.00
_cell_angle_beta 90.00
_cell_angle_gamma 120.00
loop_
_atom_site_label
_atom_site_fract_x
_atom_site_fract_y
_atom_site_fract_z
_atom_site_occupancy
Sm1 0.0000 0.0000 0.0000 1
Tl1 0.0000 0.0000 0.5000 1
Tl2 0.3333 0.6667 0.1706 1
Te1 0.3333 0.6667 0.6649 1
O1 0.0000 0.5000 0.5000 1
O2 0.1783 0.3567 0.8084 1
```

The volume is 227.1 Å³/cell. The value obtained for the energy relative to the elements, uncorrected is -1.2459 eV per atom. The calculation puts the raw total energy at -81.4 eV/f.u.